Record 1
GGA-PBE MgTcBr, relaxed; uncorrected formation energy = 2.668 eV per formula unit; E = -10.97 eV for the cell shown; size of the total moment = 2.653 μB per cell; E above lowest polymorph = 54.7 kJ per mole of atoms; symmetry = No. 216; D(E_F) = 3.3 states/eV/cell
1.0
4.552 0.000 0.000
2.276 3.942 0.000
2.276 1.314 3.716
Br Mg Tc
1 1 1
Direct
0.000 0.000 0.000
0.500 0.500 0.500
0.750 0.750 0.750


Record 2
GGA-PBE Nd2Er2Tm2Sc, relaxed; E = -33.24 eV for the cell shown; size of the total moment = 0.000 μB per cell; energy of formation = 0.10 eV per atom; symmetry = No. 12; D(E_F) = 11.7 states/eV/cell
1.0
3.467 0.000 0.000
-1.734 2.742 5.078
0.000 -5.994 11.980
Nd Er Tm Sc
2 2 2 1
Direct
0.914 0.828 0.913
0.086 0.172 0.087
0.636 0.273 0.632
0.364 0.727 0.368
0.283 0.567 0.763
0.717 0.433 0.237
0.000 0.000 0.500


Record 3
GGA-PBE KCdFe2I8, relaxed; uncorrected formation energy = -5.416 eV per formula unit; E = -36.76 eV for the cell shown; size of the total moment = 9.000 μB per cell; symmetry = No. 12; D(E_F) = 7.1 states/eV/cell
1.0
7.335 -0.451 0.123
2.983 6.716 0.123
0.646 0.392 10.321
K Cd Fe I
1 1 2 8
Direct
0.000 0.000 0.500
0.000 0.000 0.000
0.622 0.622 0.220
0.378 0.378 0.780
0.759 0.264 0.784
0.751 0.751 0.008
0.705 0.705 0.436
0.295 0.295 0.564
0.249 0.249 0.992
0.264 0.759 0.784
0.736 0.241 0.216
0.241 0.736 0.216


Record 4
GGA-PBE SeI, relaxed; uncorrected formation energy = 0.054 eV per formula unit; E = -9.96 eV for the cell shown; size of the total moment = 0.000 μB per cell; symmetry = No. 1
1.0
-3.494 3.449 -0.483
-2.822 -5.818 -1.300
1.363 0.609 6.895
Se I
2 2
Direct
0.445 0.135 0.786
0.054 0.787 0.556
0.150 0.652 0.185
0.285 0.451 0.699


Record 5
GGA-PBE Zr4BePb, relaxed; E = -38.52 eV for the cell shown; size of the total moment = 0.000 μB per cell; energy of formation = 0.52 eV per atom; symmetry = No. 216; D(E_F) = 7.2 states/eV/cell
1.0
0.000 4.082 4.082
4.082 0.000 4.082
4.082 4.082 0.000
Zr Be Pb
4 1 1
Direct
0.873 0.376 0.376
0.376 0.376 0.873
0.376 0.873 0.376
0.376 0.376 0.376
0.750 0.750 0.750
0.000 0.000 0.000


Record 6
GGA-PBE Sr8Ca2Ag, relaxed; E = -20.38 eV for the cell shown; size of the total moment = 0.000 μB per cell; energy of formation = -0.01 eV per atom; symmetry = No. 12; D(E_F) = 10.7 states/eV/cell
1.0
6.443 0.000 -1.675
-0.518 7.996 -1.991
-0.591 -1.466 10.955
Sr Ca Ag
8 2 1
Direct
0.619 0.379 0.239
0.375 0.124 0.751
0.191 0.194 0.381
0.002 0.758 0.003
0.809 0.806 0.619
0.625 0.876 0.249
0.381 0.621 0.761
0.998 0.242 0.997
0.189 0.688 0.378
0.811 0.312 0.622
0.500 0.000 0.000